(1)
Th2TcPb: optimized geometry, PBE.

For the size of the total moment, the calculation gives 0.0 μB/f.u. The formation energy comes out at -75 kJ/mol of formula units. For the density of states at the Fermi level, the calculation gives 2.22 states/eV/f.u. The value obtained for the excess energy over the best structure of this formula in the dataset is 0.045 eV per atom. The value obtained for the electronic total energy is -118.75 eV per cell. As for the crystal system: orthorhombic.

The structure belongs to space group Cmcm (No. 63); the cell edges are 4.0785, 15.1825 and 7.3583 Å and the angles 90.00°, 90.00° and 90.00°. Symmetry generates all atoms from Th at (0.0000, 0.1478, 0.0014), Tc at (0.0000, 0.3088, 0.7500) and Pb at (0.0000, 0.4984, 0.2500).


(2)
ThTcPb: optimized geometry, PBE.

For the size of the total moment, the calculation gives 0.0 μB/f.u. The formation energy comes out at 29 kJ/mol of formula units. For the density of states at the Fermi level, the calculation gives 2.60 states/eV/f.u. The value obtained for the electronic total energy is -84.75 eV per cell. As for the crystal system: orthorhombic.

The structure belongs to space group Cmcm (No. 63); the cell edges are 4.5783, 17.7471 and 4.0820 Å and the angles 90.00°, 90.00° and 90.00°. Symmetry generates all atoms from Th at (0.0000, 0.0898, 0.2500), Tc at (0.0000, 0.4653, 0.2500) and Pb at (0.0000, 0.2739, 0.7500).


(3)
Th12Tc5Pb3: optimized geometry, PBE.

For the size of the total moment, the calculation gives 0.0 μB/f.u. The formation energy comes out at 214 kJ/mol of formula units. For the density of states at the Fermi level, the calculation gives 19.32 states/eV/f.u. The value obtained for the electronic total energy is -1198.19 eV per cell. As for the crystal system: cubic.

The structure belongs to space group Ia-3d (No. 230); the cell edges are 17.3957, 17.3957 and 17.3957 Å and the angles 90.00°, 90.00° and 90.00°. Symmetry generates all atoms from Th at (0.0304, 0.0544, 0.6481), Tc at (0.0000, 0.0000, 0.0000), Tc at (0.0000, 0.2500, 0.3750) and Pb at (0.0000, 0.2500, 0.1250).


(4)
Th5Tc2Pb2: optimized geometry, PBE.

For the size of the total moment, the calculation gives 0.0 μB/f.u. The formation energy comes out at -190 kJ/mol of formula units. For the density of states at the Fermi level, the calculation gives 8.08 states/eV/f.u. The value obtained for the excess energy over the best structure of this formula in the dataset is 0.000 eV per atom. The value obtained for the electronic total energy is -268.89 eV per cell. As for the crystal system: orthorhombic.

The structure belongs to space group Cmce (No. 64); the cell edges are 16.3711, 8.3954 and 7.6038 Å and the angles 90.00°, 90.00° and 90.00°. Symmetry generates all atoms from Th at (0.0000, 0.0000, 0.0000), Th at (0.1142, 0.1708, 0.3493), Tc at (0.0000, 0.1292, 0.6483) and Pb at (0.2152, 0.0000, 0.0000).